A relaxed structure of RePdO3, computed with PBE-GGA.

a b c (Å): 4.961 4.961 8.012
angles (deg): 110.17 110.17 46.65
Positions (direct):
1 Re 0.121 0.121 0.409
2 Re 0.879 0.879 0.591
3 Pd 0.312 0.312 0.934
4 Pd 0.688 0.688 0.066
5 O 0.100 0.100 0.663
6 O 0.137 0.137 0.191
7 O 0.366 0.366 0.573
8 O 0.634 0.634 0.427
9 O 0.863 0.863 0.809
10 O 0.900 0.900 0.337

**Formation energy from raw total energies**: -385 kJ/mol of formula units
**Magnetic moment**: 0.000 μB per atom
**Symmetry**: No. 12
**N(E_F)**: 0.439 states/eV/atom